Record 1
# PBEsol YPbBr2, optimized geometry
data_YPbBr2
_chemical_formula_sum 'Y2 Pb2 Br4'
_space_group_name_H-M_alt 'I m m 2'
_space_group_IT_number 44
_space_group_name_Hall 'I 2 -2'
_cell_length_a 3.607
_cell_length_b 5.003
_cell_length_c 11.961
_cell_angle_alpha 90.00
_cell_angle_beta 90.00
_cell_angle_gamma 90.00
loop_
_atom_site_label
_atom_site_fract_x
_atom_site_fract_y
_atom_site_fract_z
Y1 0.000 0.000 0.000
Pb1 0.000 0.500 0.256
Br1 0.000 0.000 0.458
Br2 0.000 0.500 0.685
# * ΔE to the lowest computed polymorph: 175 meV/atom
# * DOS(E_F): 3.85 states/eV per cell
# * crystal system: orthorhombic
# * energy relative to the elements, uncorrected: -0.87 eV per atom

Record 2
# PBEsol InPS2, optimized geometry
data_InPS2
_chemical_formula_sum 'In4 P4 S8'
_space_group_name_H-M_alt 'F m -3 m'
_space_group_IT_number 225
_space_group_name_Hall '-F 4 2 3'
_cell_length_a 6.470
_cell_length_b 6.470
_cell_length_c 6.470
_cell_angle_alpha 90.00
_cell_angle_beta 90.00
_cell_angle_gamma 90.00
loop_
_atom_site_label
_atom_site_fract_x
_atom_site_fract_y
_atom_site_fract_z
In1 0.000 0.000 0.000
P1 0.000 0.000 0.500
S1 0.250 0.250 0.250
# * DOS(E_F): 7.56 states/eV per cell
# * crystal system: cubic
# * energy relative to the elements, uncorrected: 0.31 eV per atom

Record 3
# PBEsol KHg2Pd2, optimized geometry
data_KHg2Pd2
_chemical_formula_sum 'K2 Hg4 Pd4'
_space_group_name_H-M_alt 'I 4/m m m'
_space_group_IT_number 139
_space_group_name_Hall '-I 4 2'
_cell_length_a 4.227
_cell_length_b 4.227
_cell_length_c 12.479
_cell_angle_alpha 90.00
_cell_angle_beta 90.00
_cell_angle_gamma 90.00
loop_
_atom_site_label
_atom_site_fract_x
_atom_site_fract_y
_atom_site_fract_z
K1 0.000 0.000 0.000
Hg1 0.000 0.000 0.387
Pd1 0.000 0.500 0.250
# * ΔE to the lowest computed polymorph: 52 meV/atom
# * DOS(E_F): 2.92 states/eV per cell
# * crystal system: tetragonal